A plane-wave DFT calculation with SCAN was carried out for a PBEsol-optimized structure of Li2CoMo.

Properties
- density (g/cm3) = 5.3
- calculated volume (Å³ per cell) = 53
- symmetry = P4/mmm (123)
- E above lowest polymorph (meV per atom) = 24.8
- DFT formation energy (eV/atom) = 0.376

```
Li2CoMo
1.0
2.4572 0.0000 0.0000
0.0000 2.4572 0.0000
0.0000 0.0000 8.7581
Li Co Mo
2 1 1
Direct
0.0000 0.0000 0.2293 Li
0.0000 0.0000 0.7707 Li
0.5000 0.5000 0.0000 Co
0.5000 0.5000 0.5000 Mo
```

=====

A plane-wave DFT calculation with SCAN was carried out for a PBEsol-optimized structure of LiCoMo2N.

Properties
- density (g/cm3) = 7.7
- calculated volume (Å³ per cell) = 59
- symmetry = P4/mmm (123)
- raw formation energy (eV per atom) = 2.12

```
LiCoMo2N
1.0
4.2126 0.0000 0.0000
0.0000 4.2126 0.0000
0.0000 0.0000 3.3129
Li Co Mo N
1 1 2 1
Direct
0.0000 0.0000 0.0000 Li
0.0000 0.0000 0.5000 Co
0.0000 0.5000 0.0000 Mo
0.5000 0.0000 0.0000 Mo
0.5000 0.5000 0.5000 N
```

=====

A plane-wave DFT calculation with SCAN was carried out for a PBEsol-optimized structure of LiCoNi2N.

Properties
- density (g/cm3) = 6.6
- calculated volume (Å³ per cell) = 50
- symmetry = P4/mmm (123)
- raw formation energy (eV per atom) = -0.11

```
LiCoNi2N
1.0
3.7214 0.0000 0.0000
0.0000 3.7214 0.0000
0.0000 0.0000 3.5833
Li Co Ni N
1 1 2 1
Direct
0.0000 0.0000 0.0000 Li
0.5000 0.5000 0.0000 Co
0.0000 0.5000 0.5000 Ni
0.5000 0.0000 0.5000 Ni
0.5000 0.5000 0.5000 N
```

=====

A plane-wave DFT calculation with SCAN was carried out for a PBEsol-optimized structure of LiCoNO2.

Properties
- density (g/cm3) = 3.8
- calculated volume (Å³ per cell) = 48
- symmetry = P4/mmm (123)
- raw formation energy (eV per atom) = -0.22

```
LiCoNO2
1.0
3.7629 0.0000 0.0000
0.0000 3.7629 0.0000
0.0000 0.0000 3.4165
Li Co N O
1 1 1 2
Direct
0.0000 0.0000 0.0000 Li
0.5000 0.5000 0.5000 Co
0.5000 0.5000 0.0000 N
0.0000 0.5000 0.5000 O
0.5000 0.0000 0.5000 O
```

=====

A plane-wave DFT calculation with SCAN was carried out for a PBEsol-optimized structure of LiCoTe2N.

Properties
- density (g/cm3) = 6.9
- calculated volume (Å³ per cell) = 81
- symmetry = P4/mmm (123)
- raw formation energy (eV per atom) = 1.05

```
LiCoTe2N
1.0
4.9399 0.0000 0.0000
0.0000 4.9399 0.0000
0.0000 0.0000 3.3059
Li Co Te N
1 1 2 1
Direct
0.0000 0.0000 0.0000 Li
0.5000 0.5000 0.5000 Co
0.0000 0.5000 0.0000 Te
0.5000 0.0000 0.0000 Te
0.0000 0.0000 0.5000 N
```

=====

A plane-wave DFT calculation with SCAN was carried out for a PBEsol-optimized structure of Na2Li2Co.

Properties
- density (g/cm3) = 1.9
- calculated volume (Å³ per cell) = 212
- symmetry = P4/mbm (127)
- DFT formation energy (eV/atom) = 0.347

```
Na2Li2Co
1.0
6.5189 0.0000 0.0000
0.0000 6.5189 0.0000
0.0000 0.0000 4.9924
Na Li Co
4 4 2
Direct
0.1880 0.3120 0.0000 Na
0.3120 0.8120 0.0000 Na
0.6880 0.1880 0.0000 Na
0.8120 0.6880 0.0000 Na
0.1472 0.6472 0.5000 Li
0.3528 0.1472 0.5000 Li
0.6472 0.8528 0.5000 Li
0.8528 0.3528 0.5000 Li
0.0000 0.0000 0.5000 Co
0.5000 0.5000 0.5000 Co
```

=====

A plane-wave DFT calculation with SCAN was carried out for a PBEsol-optimized structure of Na2LiCo.

Properties
- density (g/cm3) = 2.2
- calculated volume (Å³ per cell) = 84
- symmetry = Fm-3m (225)
- DFT formation energy (eV/atom) = 0.683

```
Na2LiCo
1.0
0.0000 3.4753 3.4753
3.4753 0.0000 3.4753
3.4753 3.4753 0.0000
Na Li Co
2 1 1
Direct
0.2500 0.2500 0.2500 Na
0.7500 0.7500 0.7500 Na
0.0000 0.0000 0.0000 Li
0.5000 0.5000 0.5000 Co
```

=====

A plane-wave DFT calculation with SCAN was carried out for a PBEsol-optimized structure of NaLi2Co.

Properties
- density (g/cm3) = 2.4
- calculated volume (Å³ per cell) = 67
- symmetry = Fm-3m (225)
- DFT formation energy (eV/atom) = 0.351

```
NaLi2Co
1.0
0.0000 3.2281 3.2281
3.2281 0.0000 3.2281
3.2281 3.2281 0.0000
Na Li Co
1 2 1
Direct
0.0000 0.0000 0.0000 Na
0.2500 0.2500 0.2500 Li
0.7500 0.7500 0.7500 Li
0.5000 0.5000 0.5000 Co
```

=====

A plane-wave DFT calculation with SCAN was carried out for a PBEsol-optimized structure of NaLi2NbCo.

Properties
- density (g/cm3) = 3.4
- calculated volume (Å³ per cell) = 93
- symmetry = P4/mmm (123)
- DFT formation energy (eV/atom) = 1.300

```
NaLi2NbCo
1.0
4.3902 0.0000 0.0000
0.0000 4.3902 0.0000
0.0000 0.0000 4.8330
Na Li Nb Co
1 2 1 1
Direct
0.0000 0.0000 0.0000 Na
0.0000 0.5000 0.5000 Li
0.5000 0.0000 0.5000 Li
0.5000 0.5000 0.0000 Nb
0.0000 0.0000 0.5000 Co
```

=====

A plane-wave DFT calculation with SCAN was carried out for a PBEsol-optimized structure of Na2Li2CoO4.

Properties
- density (g/cm3) = 2.9
- calculated volume (Å³ per cell) = 423
- symmetry = P2_1/c (14)
- raw formation energy (eV per atom) = -1.64

```
Na2Li2CoO4
1.0
6.4469 0.0000 0.0000
0.0000 8.2778 0.0000
-6.4229 0.0000 7.9330
Na Li Co O
8 8 4 16
Direct
0.2145 0.2189 0.2770 Na
0.2145 0.2811 0.7770 Na
0.2584 0.0226 0.0074 Na
0.2584 0.4774 0.5074 Na
0.7416 0.5226 0.4926 Na
0.7416 0.9774 0.9926 Na
0.7855 0.7189 0.2230 Na
0.7855 0.7811 0.7230 Na
0.2043 0.5802 0.2105 Li
0.2043 0.9198 0.7105 Li
0.2573 0.6452 0.0044 Li
0.2573 0.8548 0.5044 Li
0.7427 0.1452 0.4956 Li
0.7427 0.3548 0.9956 Li
0.7957 0.0802 0.2895 Li
0.7957 0.4198 0.7895 Li
0.2900 0.6305 0.7769 Co
0.2900 0.8695 0.2769 Co
0.7100 0.1305 0.7231 Co
0.7100 0.3695 0.2231 Co
0.0455 0.5362 0.7883 O
0.0455 0.9638 0.2883 O
0.0978 0.7179 0.5696 O
0.0978 0.7821 0.0696 O
0.4189 0.7107 0.4316 O
0.4189 0.7893 0.9316 O
0.4858 0.5153 0.2003 O
0.4858 0.9847 0.7003 O
0.5142 0.0153 0.2997 O
0.5142 0.4847 0.7997 O
0.5811 0.2107 0.0684 O
0.5811 0.2893 0.5684 O
0.9022 0.2179 0.9304 O
0.9022 0.2821 0.4304 O
0.9545 0.0362 0.7117 O
0.9545 0.4638 0.2117 O
```

=====

A plane-wave DFT calculation with SCAN was carried out for a PBEsol-optimized structure of Na2Li3CoO4.

Properties
- density (g/cm3) = 3.0
- calculated volume (Å³ per cell) = 418
- symmetry = Pnnm (58)
- raw formation energy (eV per atom) = -1.75

```
Na2Li3CoO4
1.0
7.9092 0.0000 0.0000
0.0000 8.1523 0.0000
0.0000 0.0000 6.4872
Na Li Co O
8 12 4 16
Direct
0.0000 0.0000 0.2451 Na
0.0000 0.0000 0.7549 Na
0.2423 0.2492 0.5000 Na
0.2577 0.7492 0.0000 Na
0.5000 0.5000 0.2549 Na
0.5000 0.5000 0.7451 Na
0.7423 0.2508 0.0000 Na
0.7577 0.7508 0.5000 Na
0.0119 0.6488 0.2535 Li
0.0119 0.6488 0.7465 Li
0.2349 0.5930 0.5000 Li
0.2651 0.0930 0.0000 Li
0.4881 0.1488 0.2465 Li
0.4881 0.1488 0.7535 Li
0.5119 0.8512 0.2465 Li
0.5119 0.8512 0.7535 Li
0.7349 0.9070 0.0000 Li
0.7651 0.4070 0.5000 Li
0.9881 0.3512 0.2535 Li
0.9881 0.3512 0.7465 Li
0.2260 0.3808 0.0000 Co
0.2740 0.8808 0.5000 Co
0.7260 0.1192 0.5000 Co
0.7740 0.6192 0.0000 Co
0.0472 0.2239 0.0000 O
0.0605 0.7786 0.5000 O
0.1959 0.4883 0.2466 O
0.1959 0.4883 0.7534 O
0.3041 0.9883 0.2534 O
0.3041 0.9883 0.7466 O
0.4395 0.2786 0.0000 O
0.4528 0.7239 0.5000 O
0.5472 0.2761 0.5000 O
0.5605 0.7214 0.0000 O
0.6959 0.0117 0.2534 O
0.6959 0.0117 0.7466 O
0.8041 0.5117 0.2466 O
0.8041 0.5117 0.7534 O
0.9395 0.2214 0.5000 O
0.9528 0.7761 0.0000 O
```

=====

A plane-wave DFT calculation with SCAN was carried out for a PBEsol-optimized structure of Na2LiCoO.

Properties
- density (g/cm3) = 2.4
- calculated volume (Å³ per cell) = 87
- symmetry = P4/mmm (123)
- raw formation energy (eV per atom) = -0.24

```
Na2LiCoO
1.0
5.1404 0.0000 0.0000
0.0000 5.1404 0.0000
0.0000 0.0000 3.2962
Na Li Co O
2 1 1 1
Direct
0.0000 0.5000 0.0000 Na
0.5000 0.0000 0.0000 Na
0.0000 0.0000 0.0000 Li
0.5000 0.5000 0.5000 Co
0.0000 0.0000 0.5000 O
```